(1)
First-principles (PBE) data for a relaxed KErTeO crystal, as listed in OQMD via LeMat-Bulk.

Structure (POSCAR):
```
KErTeO
1.0
4.692 0.000 0.000
0.000 8.402 0.000
0.000 0.000 6.782
K Er Te O
2 2 2 2
Cartesian
0.000 1.832 0.000 K
0.000 6.569 3.391 K
2.346 3.305 2.688 Er
2.346 5.097 6.079 Er
0.000 1.675 3.438 Te
0.000 6.727 0.047 Te
2.346 3.475 0.586 O
2.346 4.927 3.977 O
```

## Properties
Symmetry: Pmc2_1, No. 26
Relative energy among the computed polymorphs: 150.6 meV/atom

=====

(2)
First-principles (PBE) data for a relaxed KErTeO crystal, as listed in OQMD via LeMat-Bulk.

Structure (POSCAR):
```
KErTeO
1.0
4.182 0.000 0.000
0.000 4.182 0.000
0.000 0.000 10.630
K Er Te O
2 2 2 2
Cartesian
1.045 3.136 0.000 K
3.136 1.045 0.000 K
1.045 1.045 4.378 Er
3.136 3.136 6.252 Er
1.045 1.045 8.103 Te
3.136 3.136 2.527 Te
1.045 3.136 5.315 O
3.136 1.045 5.315 O
```

## Properties
Symmetry: P4/nmm, No. 129
Relative energy among the computed polymorphs: 253.4 meV/atom

=====

(3)
First-principles (PBE) data for a relaxed KErTeO crystal, as listed in OQMD via LeMat-Bulk.

Structure (POSCAR):
```
KErTeO
1.0
8.876 0.000 0.000
0.000 7.371 0.000
-0.854 0.000 6.538
K Er Te O
4 4 4 4
Cartesian
0.854 0.825 2.286 K
0.427 2.860 5.555 K
7.595 4.510 0.983 K
7.168 6.546 4.252 K
3.664 4.671 5.160 Er
4.091 6.385 1.891 Er
3.931 0.985 4.647 Er
4.358 2.700 1.378 Er
1.823 4.258 2.517 Te
1.396 6.797 5.786 Te
6.626 0.573 0.752 Te
6.199 3.112 4.021 Te
3.469 1.055 2.541 O
3.042 2.631 5.810 O
4.980 4.740 0.728 O
4.553 6.316 3.997 O
```

## Properties
Symmetry: P2_1/c, No. 14
Relative energy among the computed polymorphs: 0.0 meV/atom

=====

(4)
First-principles (PBE) data for a relaxed KErOs crystal, as listed in OQMD via LeMat-Bulk.

Structure (POSCAR):
```
KErOs
1.0
0.000 3.439 3.439
3.439 0.000 3.439
3.439 3.439 0.000
K Er Os
1 1 1
Cartesian
0.000 0.000 0.000 K
3.439 3.439 3.439 Er
5.158 5.158 5.158 Os
```

## Properties
Symmetry: F-43m, No. 216
Relative energy among the computed polymorphs: 0.0 meV/atom

=====

(5)
First-principles (PBE) data for a relaxed KErPa crystal, as listed in OQMD via LeMat-Bulk.

Structure (POSCAR):
```
KErPa
1.0
0.000 4.032 4.032
4.032 0.000 4.032
4.032 4.032 0.000
K Er Pa
1 1 1
Cartesian
0.000 0.000 0.000 K
4.032 4.032 4.032 Er
6.047 6.047 6.047 Pa
```

## Properties
Symmetry: F-43m, No. 216
Relative energy among the computed polymorphs: 0.0 meV/atom

=====

(6)
First-principles (PBE) data for a relaxed KErPb crystal, as listed in OQMD via LeMat-Bulk.

Structure (POSCAR):
```
KErPb
1.0
0.000 3.788 3.788
3.788 0.000 3.788
3.788 3.788 0.000
K Er Pb
1 1 1
Cartesian
0.000 0.000 0.000 K
1.894 1.894 1.894 Er
3.788 3.788 3.788 Pb
```

## Properties
Symmetry: F-43m, No. 216
Relative energy among the computed polymorphs: 0.0 meV/atom

=====

(7)
First-principles (PBE) data for a relaxed KErTe3Pd crystal, as listed in OQMD via LeMat-Bulk.

Structure (POSCAR):
```
KErTe3Pd
1.0
9.646 0.000 0.000
0.000 4.313 0.000
-4.190 0.000 9.695
K Er Te Pd
2 2 6 2
Cartesian
1.122 1.078 2.382 K
4.335 3.235 7.312 K
-0.534 3.235 8.268 Er
5.991 1.078 1.426 Er
-2.694 1.078 8.360 Te
-0.264 3.235 5.086 Te
3.790 3.235 1.596 Te
1.666 1.078 8.099 Te
5.720 1.078 4.608 Te
8.151 3.235 1.335 Te
-1.574 1.078 5.902 Pd
7.030 3.235 3.793 Pd
```

## Properties
Symmetry: P2_1/m, No. 11
Relative energy among the computed polymorphs: 25.8 meV/atom

=====

(8)
First-principles (PBE) data for a relaxed KErTe3Pd crystal, as listed in OQMD via LeMat-Bulk.

Structure (POSCAR):
```
KErTe3Pd
1.0
2.194 -8.820 0.000
2.194 8.820 0.000
0.000 0.000 10.084
K Er Te Pd
2 2 6 2
Cartesian
2.194 4.508 7.563 K
2.194 -4.508 2.521 K
0.000 0.000 0.000 Er
0.000 0.000 5.042 Er
2.194 7.081 2.521 Te
2.194 2.001 0.861 Te
2.194 2.001 4.181 Te
2.194 -2.001 5.903 Te
2.194 -2.001 9.223 Te
2.194 -7.081 7.563 Te
2.194 0.078 7.563 Pd
2.194 -0.078 2.521 Pd
```

## Properties
Symmetry: Cmcm, No. 63
Relative energy among the computed polymorphs: 0.0 meV/atom

=====

Number 1: volume 33.42 Å³/atom. Number 2: volume 23.24 Å³/atom. Number 3: volume 26.73 Å³/atom. Number 4: volume 27.11 Å³/atom. Number 5: volume 43.69 Å³/atom. Number 6: volume 36.22 Å³/atom. Number 7: volume 33.61 Å³/atom. Number 8: volume 32.52 Å³/atom.